Below is a geometry-optimized Cs2NpIBr6 structure, with properties calculated at the PBE-GGA level.

Computed properties:
Crystal system: trigonal
Electronic total energy: -3.91 eV/atom
DOS at the Fermi energy: 15.992 states/eV per cell
Calculated volume: 52.499 Å³ per atom

Cell: 9.9132 7.8199 7.8199 Å, 120.00 90.00 90.00°
Site moments in Bohr magnetons follow the coordinates.
Sites, in units of the cell vectors:
1 Cs 0.1840 0.3333 0.6667  0.00
2 Cs 0.8160 0.6667 0.3333  0.00
3 Np 0.0000 0.0000 0.0000  3.05
4 I 0.5000 0.0000 0.0000  -0.35
5 Br 0.8434 0.1666 0.3331  -0.07
6 Br 0.8434 0.1666 0.8334  -0.07
7 Br 0.8434 0.6669 0.8334  -0.07
8 Br 0.1566 0.8334 0.1666  -0.07
9 Br 0.1566 0.3331 0.1666  -0.07
10 Br 0.1566 0.8334 0.6669  -0.07